[1]
# AgSe2Cl | Alexandria | PBEsol | optimized geometry
# * formation energy without anion corrections: -99 meV per atom
# * energy relative to the lowest polymorph listed for this composition: 0 meV per atom
data_AgSe2Cl
_chemical_formula_sum 'Ag2 Se4 Cl2'
_cell_length_a 7.675
_cell_length_b 3.665
_cell_length_c 6.758
_cell_angle_alpha 90.00
_cell_angle_beta 105.26
_cell_angle_gamma 90.00
_space_group_name_H-M_alt 'C 1 m 1'
_space_group_IT_number 8
loop_
_space_group_symop_operation_xyz
'x,y,z'
'x,-y,z'
'x+1/2,y+1/2,z'
'x+1/2,-y+1/2,z'
loop_
_atom_site_label
_atom_site_type_symbol
_atom_site_fract_x
_atom_site_fract_y
_atom_site_fract_z
_atom_site_occupancy
Ag1 Ag 0.000 0.000 0.000 1
Se1 Se 0.165 0.500 0.269 1
Se2 Se 0.467 0.000 0.465 1
Cl1 Cl 0.285 0.000 0.822 1

***

[2]
# BeCuAs2 | Alexandria | PBEsol | optimized geometry
# * energy of formation from the pure elements: 371 meV per atom
data_BeCuAs2
_chemical_formula_sum 'Be1 Cu1 As2'
_cell_length_a 3.480
_cell_length_b 3.575
_cell_length_c 4.690
_cell_angle_alpha 90.00
_cell_angle_beta 90.00
_cell_angle_gamma 90.00
_space_group_name_H-M_alt 'P m m m'
_space_group_IT_number 47
loop_
_space_group_symop_operation_xyz
'x,y,z'
'-x,-y,-z'
'-x,-y,z'
'x,y,-z'
'x,-y,-z'
'-x,y,z'
'-x,y,-z'
'x,-y,z'
loop_
_atom_site_label
_atom_site_type_symbol
_atom_site_fract_x
_atom_site_fract_y
_atom_site_fract_z
_atom_site_occupancy
Be1 Be 0.000 0.000 0.000 1
Cu1 Cu 0.000 0.500 0.500 1
As1 As 0.500 0.000 0.500 1
As2 As 0.500 0.500 0.000 1

***

[3]
# CaMgHg | Alexandria | PBEsol | optimized geometry
# * energy of formation from the pure elements: -368 meV per atom
data_CaMgHg
_chemical_formula_sum 'Ca2 Mg2 Hg2'
_cell_length_a 3.641
_cell_length_b 3.641
_cell_length_c 11.368
_cell_angle_alpha 90.00
_cell_angle_beta 90.00
_cell_angle_gamma 90.00
_space_group_name_H-M_alt 'I 4 m m'
_space_group_IT_number 107
_space_group_name_Hall 'I 4 -2'
loop_
_atom_site_label
_atom_site_type_symbol
_atom_site_fract_x
_atom_site_fract_y
_atom_site_fract_z
_atom_site_occupancy
Ca1 Ca 0.000 0.000 0.000 1
Mg1 Mg 0.000 0.000 0.297 1
Hg1 Hg 0.000 0.000 0.670 1

***

[4]
# MnTcRu | Alexandria | PBEsol | optimized geometry
# * energy of formation from the pure elements: 117 meV per atom
data_MnTcRu
_chemical_formula_sum 'Mn2 Tc2 Ru2'
_cell_length_a 2.632
_cell_length_b 3.673
_cell_length_c 7.887
_cell_angle_alpha 90.00
_cell_angle_beta 90.00
_cell_angle_gamma 90.00
_space_group_name_H-M_alt 'I m m 2'
_space_group_IT_number 44
loop_
_space_group_symop_operation_xyz
'x,y,z'
'-x,-y,z'
'-x,y,z'
'x,-y,z'
'x+1/2,y+1/2,z+1/2'
'-x+1/2,-y+1/2,z+1/2'
'-x+1/2,y+1/2,z+1/2'
'x+1/2,-y+1/2,z+1/2'
loop_
_atom_site_label
_atom_site_type_symbol
_atom_site_fract_x
_atom_site_fract_y
_atom_site_fract_z
_atom_site_occupancy
Mn1 Mn 0.000 0.000 0.000 1
Tc1 Tc 0.000 0.000 0.336 1
Ru1 Ru 0.000 0.000 0.661 1

***

[5]
# ZrTl2Pt | Alexandria | PBEsol | optimized geometry
# * energy relative to the lowest polymorph listed for this composition: 62 meV per atom
# * energy of formation from the pure elements: -126 meV per atom
data_ZrTl2Pt
_chemical_formula_sum 'Zr2 Tl4 Pt2'
_cell_length_a 11.194
_cell_length_b 3.172
_cell_length_c 5.283
_cell_angle_alpha 90.00
_cell_angle_beta 118.07
_cell_angle_gamma 90.00
_space_group_name_H-M_alt 'C 1 2/m 1'
_space_group_IT_number 12
loop_
_space_group_symop_operation_xyz
'x,y,z'
'-x,-y,-z'
'-x,y,-z'
'x,-y,z'
'x+1/2,y+1/2,z'
'-x+1/2,-y+1/2,-z'
'-x+1/2,y+1/2,-z'
'x+1/2,-y+1/2,z'
loop_
_atom_site_label
_atom_site_type_symbol
_atom_site_fract_x
_atom_site_fract_y
_atom_site_fract_z
_atom_site_occupancy
Zr1 Zr 0.000 0.000 0.000 1
Tl1 Tl 0.233 0.000 0.733 1
Pt1 Pt 0.000 0.500 0.500 1

***

[6]
# AgRh2Pb | Alexandria | PBEsol | optimized geometry
# * energy of formation from the pure elements: 227 meV per atom
data_AgRh2Pb
_chemical_formula_sum 'Ag2 Rh4 Pb2'
_cell_length_a 8.864
_cell_length_b 3.066
_cell_length_c 5.026
_cell_angle_alpha 90.00
_cell_angle_beta 102.96
_cell_angle_gamma 90.00
_space_group_name_H-M_alt 'C 1 2/m 1'
_space_group_IT_number 12
loop_
_space_group_symop_operation_xyz
'x,y,z'
'-x,-y,-z'
'-x,y,-z'
'x,-y,z'
'x+1/2,y+1/2,z'
'-x+1/2,-y+1/2,-z'
'-x+1/2,y+1/2,-z'
'x+1/2,-y+1/2,z'
loop_
_atom_site_label
_atom_site_type_symbol
_atom_site_fract_x
_atom_site_fract_y
_atom_site_fract_z
_atom_site_occupancy
Ag1 Ag 0.000 0.000 0.000 1
Rh1 Rh 0.248 0.000 0.761 1
Pb1 Pb 0.000 0.500 0.500 1

***

[7]
# YClO | Alexandria | PBEsol | optimized geometry
# * formation energy without anion corrections: -3156 meV per atom
data_YClO
_chemical_formula_sum 'Y6 Cl6 O6'
_cell_length_a 3.7647
_cell_length_b 3.7647
_cell_length_c 28.8454
_cell_angle_alpha 90.00
_cell_angle_beta 90.00
_cell_angle_gamma 120.00
_space_group_name_H-M_alt 'R -3 m'
_space_group_IT_number 166
_space_group_name_Hall '-R 3 2"'
loop_
_atom_site_label
_atom_site_type_symbol
_atom_site_fract_x
_atom_site_fract_y
_atom_site_fract_z
_atom_site_occupancy
Y1 Y 0.0000 0.0000 0.2158 1
Cl1 Cl 0.0000 0.0000 0.3914 1
O1 O 0.0000 0.0000 0.1375 1

***

[8]
# LiOs2Cl | Alexandria | PBEsol | optimized geometry
# * formation energy without anion corrections: 176 meV per atom
# * energy relative to the lowest polymorph listed for this composition: 22 meV per atom
data_LiOs2Cl
_chemical_formula_sum 'Li1 Os2 Cl1'
_cell_length_a 2.827
_cell_length_b 3.553
_cell_length_c 6.538
_cell_angle_alpha 90.00
_cell_angle_beta 90.00
_cell_angle_gamma 90.00
_space_group_name_H-M_alt 'P m m 2'
_space_group_IT_number 25
loop_
_space_group_symop_operation_xyz
'x,y,z'
'-x,-y,z'
'-x,y,z'
'x,-y,z'
loop_
_atom_site_label
_atom_site_type_symbol
_atom_site_fract_x
_atom_site_fract_y
_atom_site_fract_z
_atom_site_occupancy
Li1 Li 0.000 0.000 0.000 1
Os1 Os 0.000 0.000 0.455 1
Os2 Os 0.500 0.500 0.290 1
Cl1 Cl 0.500 0.500 0.913 1